The following is a DFT calculation (PBE+U) of PaCoBO6 after structural relaxation.

Lattice parameters (Å, degrees): 4.7111 4.7111 4.7060 90.00 90.00 120.00
Atoms (fractional coordinates):
Pa1 0.0000 0.0000 0.0000
Co1 0.6667 0.3333 0.5000
B1 0.3333 0.6667 0.5000
O1 0.0254 0.3785 0.2925
O2 0.0254 0.6469 0.7075
O3 0.3531 0.3785 0.7075
O4 0.3531 0.9746 0.2925
O5 0.6215 0.6469 0.2925
O6 0.6215 0.9746 0.7075

Summary:
- E_tot: -7.593 eV per atom
- Total magnetization: 1.0 μB/cell
- Symmetry: P312, No. 149